(1)
Density functional theory data (PBEsol) for a relaxed structure of LiCrS2N.

a = 3.5017 Å, b = 4.5876 Å, c = 4.5876 Å
α = 90.00°, β = 90.00°, γ = 90.00°
Closest atoms and distances in Å follow each position.
Element x y z (fractional)
Cr 0.0000 0.0000 0.0000  2 N 1.75
S 0.0000 0.0000 0.5000  2 Cr 2.29
S 0.0000 0.5000 0.0000  2 Cr 2.29
Li 0.5000 0.5000 0.5000  8 S 2.89
N 0.5000 0.0000 0.0000  2 Cr 1.75

Results
E_form (uncorrected)   -0.2137 eV/atom


(2)
Density functional theory data (PBEsol) for a relaxed structure of SrLi2CrN3.

a = 7.2796 Å, b = 9.0455 Å, c = 10.4250 Å
α = 90.00°, β = 90.00°, γ = 90.00°
Closest atoms and distances in Å follow each position.
Element x y z (fractional)
Sr 0.0844 0.8085 0.0836  5 N 2.52-2.81
Sr 0.9156 0.1915 0.9164  5 N 2.52-2.81
Sr 0.4156 0.3085 0.9164  5 N 2.52-2.81
Sr 0.5844 0.1915 0.4164  5 N 2.52-2.81
Sr 0.0844 0.3085 0.4164  5 N 2.52-2.81
Sr 0.5844 0.6915 0.0836  5 N 2.52-2.81
Sr 0.9156 0.6915 0.5836  5 N 2.52-2.81
Sr 0.4156 0.8085 0.5836  5 N 2.52-2.81
Li 0.7094 0.3770 0.6833  4 N 2.08-2.25
Li 0.9058 0.6147 0.2802  3 N 1.97-2.07
Li 0.4058 0.3853 0.2198  3 N 1.97-2.07
Li 0.2906 0.6230 0.3167  4 N 2.08-2.25
Li 0.5942 0.6147 0.7802  3 N 1.97-2.07
Li 0.2094 0.6230 0.8167  4 N 2.08-2.25
Li 0.7906 0.8770 0.3167  4 N 2.08-2.25
Li 0.0942 0.8853 0.7802  3 N 1.97-2.07
Li 0.0942 0.3853 0.7198  3 N 1.97-2.07
Li 0.9058 0.1147 0.2198  3 N 1.97-2.07
Li 0.5942 0.1147 0.7198  3 N 1.97-2.07
Li 0.7094 0.8770 0.8167  4 N 2.08-2.25
Li 0.2094 0.1230 0.6833  4 N 2.08-2.25
Li 0.4058 0.8853 0.2802  3 N 1.97-2.07
Li 0.7906 0.3770 0.1833  4 N 2.08-2.25
Li 0.2906 0.1230 0.1833  4 N 2.08-2.25
Cr 0.3951 0.4527 0.5824  4 N 1.69-1.87
Cr 0.8951 0.0473 0.5824  4 N 1.69-1.87
Cr 0.1049 0.9527 0.4176  4 N 1.69-1.87
Cr 0.6049 0.5473 0.4176  4 N 1.69-1.87
Cr 0.8951 0.5473 0.9176  4 N 1.69-1.87
Cr 0.3951 0.9527 0.9176  4 N 1.69-1.87
Cr 0.1049 0.4527 0.0824  4 N 1.69-1.87
Cr 0.6049 0.0473 0.0824  4 N 1.69-1.87
N 0.3965 0.9326 0.0958  2 Cr 1.84-1.87, 1 Li 1.97
N 0.0735 0.7834 0.3443  1 Cr 1.73
N 0.2089 0.5515 0.6273  1 Cr 1.69
N 0.8965 0.0674 0.4042  2 Cr 1.84-1.87, 1 Li 1.97
N 0.4265 0.7834 0.8443  1 Cr 1.73
N 0.6035 0.5674 0.5958  2 Cr 1.84-1.87, 1 Li 1.97
N 0.2911 0.5515 0.1273  1 Cr 1.69
N 0.0735 0.2834 0.1557  1 Cr 1.73
N 0.7089 0.4485 0.8727  1 Cr 1.69
N 0.7911 0.4485 0.3727  1 Cr 1.69
N 0.9265 0.2166 0.6557  1 Cr 1.73
N 0.5735 0.7166 0.3443  1 Cr 1.73
N 0.8965 0.5674 0.0958  2 Cr 1.84-1.87, 1 Li 1.97
N 0.4265 0.2834 0.6557  1 Cr 1.73
N 0.5735 0.2166 0.1557  1 Cr 1.73
N 0.7911 0.9485 0.1273  1 Cr 1.69
N 0.9265 0.7166 0.8443  1 Cr 1.73
N 0.3965 0.4326 0.4042  2 Cr 1.84-1.87, 1 Li 1.97
N 0.2089 0.0515 0.8727  1 Cr 1.69
N 0.7089 0.9485 0.6273  1 Cr 1.69
N 0.6035 0.0674 0.9042  2 Cr 1.84-1.87, 1 Li 1.97
N 0.1035 0.4326 0.9042  2 Cr 1.84-1.87, 1 Li 1.97
N 0.1035 0.9326 0.5958  2 Cr 1.84-1.87, 1 Li 1.97
N 0.2911 0.0515 0.3727  1 Cr 1.69

Results
E_form (uncorrected)   -0.9180 eV/atom


(3)
Density functional theory data (PBEsol) for a relaxed structure of NaLiCr3.

a = 5.0892 Å, b = 5.0892 Å, c = 5.0892 Å
α = 90.00°, β = 90.00°, γ = 90.00°
Closest atoms and distances in Å follow each position.
Element x y z (fractional)
Cr 0.0000 0.5000 0.0000  2 Na 2.54
Cr 0.0000 0.0000 0.5000  2 Na 2.54
Cr 0.5000 0.0000 0.0000  2 Na 2.54
Li 0.5000 0.5000 0.5000  12 Cr 3.60
Na 0.0000 0.0000 0.0000  6 Cr 2.54


(4)
Density functional theory data (PBEsol) for a relaxed structure of Na3LiCr.

a = 5.4158 Å, b = 5.4158 Å, c = 5.4158 Å
α = 90.00°, β = 90.00°, γ = 90.00°
Closest atoms and distances in Å follow each position.
Element x y z (fractional)
Cr 0.5000 0.5000 0.5000  12 Na 3.83
Li 0.0000 0.0000 0.0000  6 Na 2.71
Na 0.0000 0.5000 0.0000  2 Li 2.71
Na 0.0000 0.0000 0.5000  2 Li 2.71
Na 0.5000 0.0000 0.0000  2 Li 2.71


(5)
Density functional theory data (PBEsol) for a relaxed structure of Li4Nb3Cr3Ni2O16.

a = 5.8868 Å, b = 5.8868 Å, c = 9.5113 Å
α = 90.69°, β = 90.69°, γ = 60.17°
Closest atoms and distances in Å follow each position.
Element x y z (fractional)
Li 0.3408 0.3408 0.8993  4 O 1.95-1.98
Li 0.9976 0.9976 0.0038  4 O 1.77-1.96
Li 0.8756 0.8756 0.4597  3 O 1.85-2.00
Li 0.6558 0.6558 0.3715  3 O 1.83-1.94
Nb 0.1749 0.1749 0.2240  6 O 2.00-2.03
Nb 0.3415 0.8404 0.7046  6 O 1.97-2.05
Nb 0.8404 0.3415 0.7046  6 O 1.97-2.05
Cr 0.1724 0.6670 0.2152  6 O 1.93-1.99
Cr 0.6670 0.1724 0.2152  6 O 1.93-1.99
Cr 0.8324 0.8324 0.7220  6 O 1.93-2.02
Ni 0.3411 0.3411 0.4846  6 O 1.98-2.07
Ni 0.6739 0.6739 0.9950  6 O 2.05-2.15
O 0.1582 0.6835 0.6030  1 Nb 1.97, 1 Li 2.00, 1 Cr 2.02, 1 Ni 2.07
O 0.4797 0.4797 0.3321  1 Li 1.83, 2 Cr 1.93, 1 Ni 2.04
O 0.3374 0.3374 0.1041  1 Li 1.95, 2 Cr 1.98, 1 Nb 2.02
O 0.0021 0.0021 0.3221  1 Li 1.85, 2 Cr 1.98, 1 Nb 2.00
O 0.0009 0.0009 0.8182  1 Li 1.77, 1 Cr 1.93
O 0.6835 0.1582 0.6030  1 Nb 1.97, 1 Li 2.00, 1 Cr 2.02, 1 Ni 2.07
O 0.0300 0.5047 0.3446  1 Li 1.94, 1 Cr 1.99, 1 Nb 2.03, 1 Ni 2.07
O 0.5047 0.0300 0.3446  1 Li 1.94, 1 Cr 1.99, 1 Nb 2.03, 1 Ni 2.07
O 0.8439 0.8439 0.1124  1 Li 1.89, 2 Cr 1.94, 1 Ni 2.05
O 0.1828 0.1828 0.6028  1 Ni 1.98, 2 Nb 2.01
O 0.5222 0.9680 0.8413  1 Cr 1.96, 1 Li 1.98, 1 Nb 2.03, 1 Ni 2.10
O 0.9680 0.5222 0.8413  1 Cr 1.96, 1 Li 1.98, 1 Nb 2.03, 1 Ni 2.10
O 0.6787 0.6787 0.5883  1 Cr 2.00, 2 Nb 2.05, 1 Li 2.07
O 0.3292 0.8429 0.1082  1 Li 1.96, 1 Cr 1.99, 1 Nb 2.02, 1 Ni 2.07
O 0.5227 0.5227 0.8344  1 Li 1.96, 2 Nb 2.05, 1 Ni 2.15
O 0.8429 0.3292 0.1082  1 Li 1.96, 1 Cr 1.99, 1 Nb 2.02, 1 Ni 2.07

Results
E_form (uncorrected)   -1.9575 eV/atom


(6)
Density functional theory data (PBEsol) for a relaxed structure of LiNbCrO4.

a = 5.9092 Å, b = 5.9507 Å, c = 5.9507 Å
α = 60.74°, β = 60.23°, γ = 60.23°
Closest atoms and distances in Å follow each position.
Element x y z (fractional)
Li 0.1280 0.1220 0.6220  4 O 1.92-2.00
Li 0.8720 0.8780 0.3780  4 O 1.92-2.00
Nb 0.0000 0.5000 0.0000  6 O 2.04-2.08
Nb 0.5000 0.5000 0.0000  6 O 2.04-2.08
Cr 0.5000 0.0000 0.0000  6 O 1.99-2.00
Cr 0.5000 0.5000 0.5000  6 O 1.99-2.00
O 0.2696 0.2581 0.7581  2 Cr 2.00, 1 Li 2.00, 1 Nb 2.04
O 0.7142 0.2581 0.7581  2 Cr 2.00, 1 Li 2.00, 1 Nb 2.04
O 0.2858 0.7419 0.2419  2 Cr 2.00, 1 Li 2.00, 1 Nb 2.04
O 0.7304 0.7419 0.2419  2 Cr 2.00, 1 Li 2.00, 1 Nb 2.04
O 0.2631 0.2441 0.2297  1 Li 1.92, 1 Cr 1.99, 2 Nb 2.08
O 0.2631 0.7297 0.7441  1 Li 1.92, 1 Cr 1.99, 2 Nb 2.08
O 0.7369 0.7559 0.7703  1 Li 1.92, 1 Cr 1.99, 2 Nb 2.08
O 0.7369 0.2703 0.2559  1 Li 1.92, 1 Cr 1.99, 2 Nb 2.08

Results
E_form (uncorrected)   -2.1760 eV/atom


(7)
Density functional theory data (PBEsol) for a relaxed structure of Li2NbCr3O8.

a = 5.9043 Å, b = 5.9043 Å, c = 5.8941 Å
α = 59.94°, β = 59.94°, γ = 60.00°
Closest atoms and distances in Å follow each position.
Element x y z (fractional)
Li 0.8733 0.8733 0.3801  4 O 1.96-2.00
Li 0.1267 0.1267 0.6199  4 O 1.96-2.00
Nb 0.5000 0.5000 0.5000  6 O 2.02
Cr 0.5000 0.0000 0.0000  6 O 1.97-2.00
Cr 0.5000 0.5000 0.0000  6 O 1.97-2.00
Cr 0.0000 0.5000 0.0000  6 O 1.97-2.00
O 0.7348 0.7348 0.7957  3 Cr 1.97, 1 Li 2.00
O 0.2652 0.2652 0.2043  3 Cr 1.97, 1 Li 2.00
O 0.2807 0.7413 0.2366  1 Li 1.96, 2 Cr 2.00, 1 Nb 2.02
O 0.7413 0.7413 0.2366  1 Li 1.96, 2 Cr 2.00, 1 Nb 2.02
O 0.7413 0.2807 0.2366  1 Li 1.96, 2 Cr 2.00, 1 Nb 2.02
O 0.2587 0.7193 0.7634  1 Li 1.96, 2 Cr 2.00, 1 Nb 2.02
O 0.2587 0.2587 0.7634  1 Li 1.96, 2 Cr 2.00, 1 Nb 2.02
O 0.7193 0.2587 0.7634  1 Li 1.96, 2 Cr 2.00, 1 Nb 2.02

Results
E_form (uncorrected)   -2.1343 eV/atom
Offset from the most stable computed form   0.019 eV/atom


(8)
Density functional theory data (PBEsol) for a relaxed structure of Li2NbCr3O8.

a = 5.8573 Å, b = 5.8573 Å, c = 9.4517 Å
α = 90.00°, β = 90.00°, γ = 120.00°
Closest atoms and distances in Å follow each position.
Element x y z (fractional)
Li 0.6667 0.3333 0.1000  4 O 1.97
Li 0.0000 0.0000 0.0054  4 O 1.76-1.94
Li 0.0000 0.0000 0.5054  4 O 1.76-1.94
Li 0.3333 0.6667 0.6000  4 O 1.97
Nb 0.6667 0.3333 0.5076  6 O 1.97-2.09
Nb 0.3333 0.6667 0.0076  6 O 1.97-2.09
Cr 0.8307 0.6614 0.7849  6 O 1.93-2.03
Cr 0.8307 0.1693 0.7849  6 O 1.93-2.03
Cr 0.3386 0.1693 0.7849  6 O 1.93-2.03
Cr 0.6614 0.8307 0.2849  6 O 1.93-2.03
Cr 0.1693 0.8307 0.2849  6 O 1.93-2.03
Cr 0.1693 0.3386 0.2849  6 O 1.93-2.03
O 0.8347 0.6693 0.4033  1 Li 1.94, 1 Nb 1.97, 2 Cr 2.03
O 0.9626 0.4813 0.6619  2 Cr 1.97, 1 Li 1.97, 1 Nb 2.09
O 0.6667 0.3333 0.8916  3 Cr 1.95, 1 Li 1.97
O 0.0000 0.0000 0.6915  1 Li 1.76, 3 Cr 1.93
O 0.0000 0.0000 0.1915  1 Li 1.76, 3 Cr 1.93
O 0.8347 0.1653 0.4033  1 Li 1.94, 1 Nb 1.97, 2 Cr 2.03
O 0.5187 0.4813 0.6619  2 Cr 1.97, 1 Li 1.97, 1 Nb 2.09
O 0.5187 0.0374 0.6619  2 Cr 1.97, 1 Li 1.97, 1 Nb 2.09
O 0.6693 0.8347 0.9033  1 Li 1.94, 1 Nb 1.97, 2 Cr 2.03
O 0.3307 0.1653 0.4033  1 Li 1.94, 1 Nb 1.97, 2 Cr 2.03
O 0.4813 0.9626 0.1619  2 Cr 1.97, 1 Li 1.97, 1 Nb 2.09
O 0.4813 0.5187 0.1619  2 Cr 1.97, 1 Li 1.97, 1 Nb 2.09
O 0.3333 0.6667 0.3916  3 Cr 1.95, 1 Li 1.97
O 0.1653 0.8347 0.9033  1 Li 1.94, 1 Nb 1.97, 2 Cr 2.03
O 0.0374 0.5187 0.1619  2 Cr 1.97, 1 Li 1.97, 1 Nb 2.09
O 0.1653 0.3307 0.9033  1 Li 1.94, 1 Nb 1.97, 2 Cr 2.03

Results
E_form (uncorrected)   -2.1533 eV/atom
Offset from the most stable computed form   0.000 eV/atom


(9)
Density functional theory data (PBEsol) for a relaxed structure of Li4NbCr5O12.

a = 5.0106 Å, b = 4.9997 Å, c = 9.9874 Å
α = 94.74°, β = 99.49°, γ = 59.93°
Closest atoms and distances in Å follow each position.
Element x y z (fractional)
Li 0.4204 0.3352 0.7663  6 O 2.07-2.23
Li 0.2444 0.3352 0.2337  6 O 2.07-2.23
Li 0.7556 0.6648 0.7663  6 O 2.07-2.23
Li 0.5796 0.6648 0.2337  6 O 2.07-2.23
Nb 0.0000 0.0000 0.5000  6 O 2.06-2.07
Cr 0.8373 0.3254 0.0000  6 O 1.94-1.98
Cr 0.3332 0.3335 0.5000  6 O 1.98
Cr 0.6668 0.6665 0.5000  6 O 1.98
Cr 0.5000 0.0000 0.0000  6 O 1.94-1.98
Cr 0.1627 0.6746 0.0000  6 O 1.94-1.98
O 0.7886 0.0000 0.8929  3 Cr 1.94-1.97, 2 Li 2.07
O 0.2114 0.0000 0.1071  3 Cr 1.94-1.97, 2 Li 2.07
O 0.6158 0.0000 0.3872  2 Cr 1.98, 1 Nb 2.06
O 0.3842 0.0000 0.6128  2 Cr 1.98, 1 Nb 2.06
O 0.3108 0.6523 0.3869  2 Cr 1.98, 1 Nb 2.07
O 0.0369 0.6523 0.6131  2 Cr 1.98, 1 Nb 2.07
O 0.9631 0.3477 0.3869  2 Cr 1.98, 1 Nb 2.07
O 0.6892 0.3477 0.6131  2 Cr 1.98, 1 Nb 2.07
O 0.5253 0.3424 0.1038  3 Cr 1.94-1.98, 2 Li 2.08
O 0.1323 0.3424 0.8962  3 Cr 1.94-1.98, 2 Li 2.08
O 0.8677 0.6576 0.1038  3 Cr 1.94-1.98, 2 Li 2.08
O 0.4747 0.6576 0.8962  3 Cr 1.94-1.98, 2 Li 2.08

Results
E_form (uncorrected)   -2.0447 eV/atom


no.,total moment (μB/f.u.),DFT total energy (eV/f.u.)
1,0.00,-30.57
2,0.00,-48.02
3,14.71,-23.89
4,5.03,-12.13
5,11.87,-222.17
6,2.53,-59.26
7,8.97,-117.36
8,9.00,-117.62
9,13.58,-177.87